[1]
# Ga2TeSe (GGA-PBE, relaxed)
data_Ga2TeSe
_chemical_formula_sum 'Ga8 Te4 Se4'
_space_group_name_H-M_alt 'F m -3 m'
_space_group_IT_number 225
_space_group_name_Hall '-F 4 2 3'
_cell_length_a 7.162
_cell_length_b 7.162
_cell_length_c 7.162
_cell_angle_alpha 90.00
_cell_angle_beta 90.00
_cell_angle_gamma 90.00
loop_
_atom_site_label
_atom_site_type_symbol
_atom_site_fract_x
_atom_site_fract_y
_atom_site_fract_z
Ga1 Ga 0.250 0.250 0.250
Te1 Te 0.000 0.000 0.000
Se1 Se 0.000 0.000 0.500
# **Excess energy over the best structure of this formula in the dataset**: 202 meV per atom

=====

[2]
# Dy12CoNi6 (GGA-PBE, relaxed)
data_Dy12CoNi6
_chemical_formula_sum 'Dy36 Co3 Ni18'
_space_group_name_H-M_alt 'R -3'
_space_group_IT_number 148
_space_group_name_Hall '-R 3'
_cell_length_a 11.9821
_cell_length_b 11.9821
_cell_length_c 11.5492
_cell_angle_alpha 90.00
_cell_angle_beta 90.00
_cell_angle_gamma 120.00
loop_
_atom_site_label
_atom_site_type_symbol
_atom_site_fract_x
_atom_site_fract_y
_atom_site_fract_z
Dy1 Dy 0.0216 0.8130 0.3906
Dy2 Dy 0.0339 0.8360 0.8798
Co1 Co 0.0000 0.0000 0.0000
Ni1 Ni 0.0402 0.7768 0.6471
# **Formation energy from the elements**: -192 meV/atom